Here is a PBEsol-optimized structure of SnHgOs2O from Alexandria. Energies are from meta-GGA SCAN.

Results
* total magnetic moment: 5.76 μB per cell
* formation energy (no corrections): 2.91 eV/atom
* E_tot: -47.904 eV/atom

Cell: 4.9739 4.9739 5.4253 Å, 90.00 90.00 90.00°
Element x y z (fractional)
Sn 0.0000 0.0000 0.0000
Hg 0.0000 0.0000 0.5000
Os 0.0000 0.5000 0.5000
Os 0.5000 0.0000 0.5000
O 0.5000 0.5000 0.0000

***

Here is a PBEsol-optimized structure of Co3AsH from Alexandria. Energies are from meta-GGA SCAN.

Results
* total magnetic moment: 1.40 μB per cell
* E_tot: -15.057 eV/atom

Cell: 3.5449 3.5449 3.5449 Å, 90.00 90.00 90.00°
Element x y z (fractional)
Co 0.0000 0.0000 0.5000
Co 0.0000 0.5000 0.0000
Co 0.5000 0.0000 0.0000
As 0.5000 0.5000 0.5000
H 0.0000 0.0000 0.0000

***

Here is a PBEsol-optimized structure of Sr4LiZr from Alexandria. Energies are from meta-GGA SCAN.

Results
* total magnetic moment: 4.98 μB per cell
* energy relative to the elements: 424 kJ/mol of formula units
* E_tot: -19.633 eV/atom

Cell: 7.1236 7.1236 7.1236 Å, 60.00 60.00 60.00°
Element x y z (fractional)
Sr 0.3761 0.3761 0.3761
Sr 0.3761 0.3761 0.8717
Sr 0.3761 0.8717 0.3761
Sr 0.8717 0.3761 0.3761
Li 0.0000 0.0000 0.0000
Zr 0.7500 0.7500 0.7500

***

Here is a PBEsol-optimized structure of CaMn3P3O13 from Alexandria. Energies are from meta-GGA SCAN.

Results
* total magnetic moment: 24.00 μB per cell
* formation energy (no corrections): -2.54 eV/atom
* E_tot: -11.375 eV/atom

Cell: 7.4065 6.1916 10.2183 Å, 90.00 98.84 90.00°
Element x y z (fractional)
Ca 0.1608 0.2500 0.1954
Ca 0.8392 0.7500 0.8046
Mn 0.1680 0.2500 0.7831
Mn 0.2675 0.7500 0.4247
Mn 0.5000 0.0000 0.0000
Mn 0.5000 0.5000 0.0000
Mn 0.7325 0.2500 0.5753
Mn 0.8320 0.7500 0.2169
P 0.1765 0.7500 0.1034
P 0.2581 0.7500 0.7508
P 0.2796 0.2500 0.5088
P 0.7204 0.7500 0.4912
P 0.7419 0.2500 0.2492
P 0.8235 0.2500 0.8966
O 0.0109 0.2500 0.9796
O 0.1210 0.2500 0.5911
O 0.1323 0.7500 0.2487
O 0.1366 0.5560 0.7798
O 0.1366 0.9440 0.7798
O 0.2524 0.0575 0.4076
O 0.2524 0.4425 0.4076
O 0.2892 0.5443 0.0881
O 0.2892 0.9557 0.0881
O 0.3047 0.7500 0.6109
O 0.3856 0.2500 0.9086
O 0.4364 0.7500 0.8509
O 0.4624 0.2500 0.5990
O 0.5376 0.7500 0.4010
O 0.5636 0.2500 0.1491
O 0.6144 0.7500 0.0914
O 0.6953 0.2500 0.3891
O 0.7108 0.0443 0.9119
O 0.7108 0.4557 0.9119
O 0.7476 0.5575 0.5924
O 0.7476 0.9425 0.5924
O 0.8634 0.0560 0.2202
O 0.8634 0.4440 0.2202
O 0.8677 0.2500 0.7513
O 0.8790 0.7500 0.4089
O 0.9891 0.7500 0.0204

***

Here is a PBEsol-optimized structure of Ba2ZrPd from Alexandria. Energies are from meta-GGA SCAN.

Results
* total magnetic moment: 4.31 μB per cell
* energy relative to the elements: 183 kJ/mol of formula units
* E_tot: -35.168 eV/atom

Cell: 5.5821 5.5821 5.5821 Å, 60.00 60.00 60.00°
Element x y z (fractional)
Ba 0.2500 0.2500 0.2500
Ba 0.7500 0.7500 0.7500
Zr 0.0000 0.0000 0.0000
Pd 0.5000 0.5000 0.5000

***

Here is a PBEsol-optimized structure of SrY3Cl from Alexandria. Energies are from meta-GGA SCAN.

Results
* total magnetic moment: 0.00 μB per cell
* formation energy (no corrections): 1.09 eV/atom
* E_tot: -21.663 eV/atom

Cell: 5.6767 5.6767 5.6767 Å, 90.00 90.00 90.00°
Element x y z (fractional)
Sr 0.0000 0.0000 0.0000
Y 0.0000 0.0000 0.5000
Y 0.0000 0.5000 0.0000
Y 0.5000 0.0000 0.0000
Cl 0.5000 0.5000 0.5000

***

Here is a PBEsol-optimized structure of YGe2Rh2 from Alexandria. Energies are from meta-GGA SCAN.

Results
* total magnetic moment: 0.00 μB per cell
* energy relative to the elements: -513 kJ/mol of formula units
* E_tot: -27.775 eV/atom

Cell: 5.8768 5.8768 5.8768 Å, 139.44 139.44 58.70°
Element x y z (fractional)
Y 0.0000 0.0000 0.0000
Ge 0.3789 0.3789 0.0000
Ge 0.6211 0.6211 0.0000
Rh 0.2500 0.7500 0.5000
Rh 0.7500 0.2500 0.5000

***

Here is a PBEsol-optimized structure of TbCoGe from Alexandria. Energies are from meta-GGA SCAN.

Results
* total magnetic moment: 0.02 μB per cell
* energy relative to the elements: -189 kJ/mol of formula units
* E_tot: -28.370 eV/atom

Cell: 6.9412 4.2283 6.8438 Å, 90.00 90.00 90.00°
Element x y z (fractional)
Tb 0.0204 0.2500 0.1888
Tb 0.4796 0.7500 0.6888
Tb 0.5204 0.2500 0.3112
Tb 0.9796 0.7500 0.8112
Co 0.1449 0.7500 0.4348
Co 0.3551 0.2500 0.9348
Co 0.6449 0.7500 0.0652
Co 0.8551 0.2500 0.5652
Ge 0.1979 0.2500 0.6083
Ge 0.3021 0.7500 0.1083
Ge 0.6979 0.2500 0.8917
Ge 0.8021 0.7500 0.3917

***

Here is a PBEsol-optimized structure of Ba5Ga6H2 from Alexandria. Energies are from meta-GGA SCAN.

Results
* total magnetic moment: 0.00 μB per cell
* E_tot: -23.864 eV/atom

Cell: 7.6950 7.6950 14.1832 Å, 90.00 90.00 120.00°
Element x y z (fractional)
Ba 0.0000 0.3576 0.2500
Ba 0.0000 0.6424 0.7500
Ba 0.3333 0.6667 0.0153
Ba 0.3333 0.6667 0.5153
Ba 0.3576 0.0000 0.2500
Ba 0.3576 0.3576 0.7500
Ba 0.6424 0.0000 0.7500
Ba 0.6424 0.6424 0.2500
Ba 0.6667 0.3333 0.4847
Ba 0.6667 0.3333 0.9847
Ga 0.0142 0.2076 0.9219
Ga 0.0142 0.8066 0.4219
Ga 0.1934 0.2076 0.4219
Ga 0.1934 0.9858 0.9219
Ga 0.2076 0.0142 0.5781
Ga 0.2076 0.1934 0.0781
Ga 0.7924 0.8066 0.9219
Ga 0.7924 0.9858 0.4219
Ga 0.8066 0.0142 0.0781
Ga 0.8066 0.7924 0.5781
Ga 0.9858 0.1934 0.5781
Ga 0.9858 0.7924 0.0781
H 0.3333 0.6667 0.2007
H 0.3333 0.6667 0.7007
H 0.6667 0.3333 0.2993
H 0.6667 0.3333 0.7993

***

Here is a PBEsol-optimized structure of KCaCo2 from Alexandria. Energies are from meta-GGA SCAN.

Results
* relative energy among the computed polymorphs: 0.000 eV/atom
* total magnetic moment: 2.98 μB per cell
* energy relative to the elements: 340 kJ/mol of formula units
* E_tot: -12.268 eV/atom

Cell: 2.9263 2.9263 9.2559 Å, 90.00 90.00 90.14°
Element x y z (fractional)
K 0.0000 0.0000 0.0000
Ca 0.0000 0.0000 0.5000
Co 0.5000 0.5000 0.2773
Co 0.5000 0.5000 0.7227

***

Here is a PBEsol-optimized structure of KPb2Se from Alexandria. Energies are from meta-GGA SCAN.

Results
* total magnetic moment: 0.00 μB per cell
* formation energy (no corrections): -0.49 eV/atom
* E_tot: -45.478 eV/atom

Cell: 6.7674 6.7674 6.7674 Å, 147.72 134.14 57.19°
Element x y z (fractional)
K 0.0000 0.0000 0.0000
Pb 0.2955 0.7955 0.5000
Pb 0.7045 0.2045 0.5000
Se 0.5000 0.5000 0.0000

***

Here is a PBEsol-optimized structure of CaMn2Ru from Alexandria. Energies are from meta-GGA SCAN.

Results
* relative energy among the computed polymorphs: 0.222 eV/atom
* total magnetic moment: 7.10 μB per cell
* energy relative to the elements: 118 kJ/mol of formula units
* E_tot: -19.944 eV/atom

Cell: 5.4192 5.4192 5.4192 Å, 148.62 129.76 60.44°
Element x y z (fractional)
Ca 0.0000 0.0000 0.0000
Mn 0.2817 0.7817 0.5000
Mn 0.5344 0.5344 0.0000
Ru 0.7384 0.2384 0.5000

***

Here is a PBEsol-optimized structure of AlHRh2 from Alexandria. Energies are from meta-GGA SCAN.

Results
* total magnetic moment: 0.00 μB per cell
* E_tot: -20.132 eV/atom

Cell: 4.8721 4.8721 4.8721 Å, 106.58 106.58 115.42°
Element x y z (fractional)
Al 0.0000 0.0000 0.0000
Al 0.7500 0.2500 0.5000
H 0.2500 0.7500 0.5000
H 0.5000 0.5000 0.0000
Rh 0.2148 0.6250 0.0898
Rh 0.3750 0.4648 0.5898
Rh 0.5352 0.1250 0.9102
Rh 0.8750 0.7852 0.4102

***

Here is a PBEsol-optimized structure of Li5Co3Sb2O10 from Alexandria. Energies are from meta-GGA SCAN.

Results
* total magnetic moment: 8.00 μB per cell
* formation energy (no corrections): -1.70 eV/atom
* E_tot: -11.735 eV/atom

Cell: 5.1092 5.1699 7.9703 Å, 106.76 102.88 100.58°
Element x y z (fractional)
Li 0.0000 0.0000 0.0000
Li 0.4925 0.1649 0.8951
Li 0.4933 0.6246 0.6880
Li 0.5067 0.3754 0.3120
Li 0.5075 0.8351 0.1049
Co 0.0071 0.1749 0.4086
Co 0.5000 0.0000 0.5000
Co 0.9929 0.8251 0.5914
Sb 0.0058 0.4170 0.7995
Sb 0.9942 0.5830 0.2005
O 0.2269 0.4058 0.0447
O 0.2378 0.5864 0.4352
O 0.2383 0.7910 0.8403
O 0.2413 0.9670 0.2538
O 0.2475 0.2247 0.6681
O 0.7525 0.7753 0.3319
O 0.7587 0.0330 0.7462
O 0.7617 0.2090 0.1597
O 0.7622 0.4136 0.5648
O 0.7731 0.5942 0.9553

***

Here is a PBEsol-optimized structure of Sn2BiPb2 from Alexandria. Energies are from meta-GGA SCAN.

Results
* relative energy among the computed polymorphs: 0.000 eV/atom
* total magnetic moment: 0.00 μB per cell
* energy relative to the elements: 62 kJ/mol of formula units
* E_tot: -60.268 eV/atom

Cell: 9.1748 9.1748 9.1748 Å, 153.76 153.76 37.44°
Element x y z (fractional)
Sn 0.2500 0.7500 0.5000
Sn 0.7500 0.2500 0.5000
Bi 0.0000 0.0000 0.0000
Pb 0.4021 0.4021 0.0000
Pb 0.5979 0.5979 0.0000

***

Here is a PBEsol-optimized structure of CuAu from Alexandria. Energies are from meta-GGA SCAN.

Results
* total magnetic moment: 0.00 μB per cell
* energy relative to the elements: -7 kJ/mol of formula units
* E_tot: -42.215 eV/atom

Cell: 2.9615 2.9615 6.4614 Å, 90.00 90.00 90.00°
Element x y z (fractional)
Cu 0.2500 0.2500 0.1004
Cu 0.7500 0.7500 0.8996
Au 0.2500 0.2500 0.6535
Au 0.7500 0.7500 0.3465

***

Here is a PBEsol-optimized structure of FeSbSN2 from Alexandria. Energies are from meta-GGA SCAN.

Results
* total magnetic moment: 0.00 μB per cell
* formation energy (no corrections): 0.90 eV/atom
* E_tot: -15.824 eV/atom

Cell: 3.7010 3.7010 4.6382 Å, 90.00 90.00 90.00°
Element x y z (fractional)
Fe 0.0000 0.0000 0.0000
Sb 0.5000 0.5000 0.5000
S 0.0000 0.0000 0.5000
N 0.0000 0.5000 0.0000
N 0.5000 0.0000 0.0000

***

Here is a PBEsol-optimized structure of BaIn2Se from Alexandria. Energies are from meta-GGA SCAN.

Results
* total magnetic moment: 0.00 μB per cell
* formation energy (no corrections): -0.70 eV/atom
* E_tot: -32.299 eV/atom

Cell: 6.0992 6.0992 6.0992 Å, 135.42 130.77 68.58°
Element x y z (fractional)
Ba 0.0000 0.0000 0.0000
In 0.2667 0.7667 0.5000
In 0.5711 0.5711 0.0000
Se 0.7509 0.2509 0.5000

***

Here is a PBEsol-optimized structure of In3ReIr from Alexandria. Energies are from meta-GGA SCAN.

Results
* total magnetic moment: 4.30 μB per cell
* energy relative to the elements: 526 kJ/mol of formula units
* E_tot: -47.382 eV/atom

Cell: 5.0295 5.0295 5.0295 Å, 90.00 90.00 90.00°
Element x y z (fractional)
In 0.0000 0.0000 0.5000
In 0.0000 0.5000 0.0000
In 0.5000 0.0000 0.0000
Re 0.5000 0.5000 0.5000
Ir 0.0000 0.0000 0.0000

***

Here is a PBEsol-optimized structure of Al4Ag3 from Alexandria. Energies are from meta-GGA SCAN.

Results
* relative energy among the computed polymorphs: 0.000 eV/atom
* total magnetic moment: 0.00 μB per cell
* energy relative to the elements: -57 kJ/mol of formula units
* E_tot: -17.957 eV/atom

Cell: 6.2380 6.2380 7.0600 Å, 114.79 114.79 27.25°
Element x y z (fractional)
Al 0.1398 0.1398 0.4281
Al 0.2890 0.2890 0.8579
Al 0.7110 0.7110 0.1421
Al 0.8602 0.8602 0.5719
Ag 0.0000 0.0000 0.0000
Ag 0.4226 0.4226 0.2834
Ag 0.5774 0.5774 0.7166

***

Here is a PBEsol-optimized structure of Sc2Hg from Alexandria. Energies are from meta-GGA SCAN.

Results
* total magnetic moment: 0.01 μB per cell
* energy relative to the elements: -41 kJ/mol of formula units
* E_tot: -32.354 eV/atom

Cell: 4.8666 4.8666 2.9616 Å, 90.00 90.00 120.00°
Element x y z (fractional)
Sc 0.3333 0.6667 0.0000
Sc 0.6667 0.3333 0.0000
Hg 0.0000 0.0000 0.5000

***

Here is a PBEsol-optimized structure of K3Cu2Bi5S10 from Alexandria. Energies are from meta-GGA SCAN.

Results
* total magnetic moment: 0.00 μB per cell
* formation energy (no corrections): -0.62 eV/atom
* E_tot: -27.847 eV/atom

Cell: 14.1576 17.5704 3.9913 Å, 90.00 90.00 90.00°
Element x y z (fractional)
K 0.0000 0.0000 0.0000
K 0.0255 0.2532 0.5000
K 0.4745 0.7532 0.0000
K 0.5000 0.5000 0.5000
K 0.5255 0.2468 0.0000
K 0.9745 0.7468 0.5000
Cu 0.2151 0.7449 0.0000
Cu 0.2849 0.2449 0.5000
Cu 0.7151 0.7551 0.5000
Cu 0.7849 0.2551 0.0000
Bi 0.0000 0.5000 0.0000
Bi 0.2203 0.5958 0.5000
Bi 0.2318 0.8939 0.5000
Bi 0.2682 0.3939 0.0000
Bi 0.2797 0.0958 0.0000
Bi 0.5000 0.0000 0.5000
Bi 0.7203 0.9042 0.0000
Bi 0.7318 0.6061 0.0000
Bi 0.7682 0.1061 0.5000
Bi 0.7797 0.4042 0.5000
S 0.0936 0.6412 0.0000
S 0.1155 0.8500 0.0000
S 0.1245 0.4458 0.5000
S 0.1613 0.0368 0.5000
S 0.1998 0.2352 0.0000
S 0.3002 0.7352 0.5000
S 0.3387 0.5368 0.0000
S 0.3755 0.9458 0.0000
S 0.3845 0.3500 0.5000
S 0.4064 0.1412 0.5000
S 0.5936 0.8588 0.5000
S 0.6155 0.6500 0.5000
S 0.6245 0.0542 0.0000
S 0.6613 0.4632 0.0000
S 0.6998 0.2648 0.5000
S 0.8002 0.7648 0.0000
S 0.8387 0.9632 0.5000
S 0.8755 0.5542 0.5000
S 0.8845 0.1500 0.0000
S 0.9064 0.3588 0.0000